1.
# Ir2C (PBE, optimized geometry)
# Raw total energy, eV per atom: -8.224
# Magnetization, μB per formula unit: 0.0
# E_form, meV/atom: 758
# Energy above the lowest structure with this stoichiometry, eV/atom: 0.200
data_Ir2C
_chemical_formula_sum 'Ir4 C2'
_space_group_name_H-M_alt 'C 1 m 1'
_space_group_IT_number 8
_space_group_name_Hall 'C -2y'
_cell_length_a 10.283
_cell_length_b 2.789
_cell_length_c 2.727
_cell_angle_alpha 90.00
_cell_angle_beta 104.94
_cell_angle_gamma 90.00
loop_
_atom_site_label
_atom_site_type_symbol
_atom_site_fract_x
_atom_site_fract_y
_atom_site_fract_z
_atom_site_occupancy
Ir1 Ir 0.000 0.000 0.000 1
Ir2 Ir 0.244 0.000 0.812 1
C1 C 0.340 0.500 0.376 1

***

2.
# DyEr2Tm8 (PBE, optimized geometry)
# Raw total energy, eV per atom: -4.394
# Magnetization, μB per formula unit: 0.0
# E_form, meV/atom: 106
# Energy above the lowest structure with this stoichiometry, eV/atom: 0.000
data_DyEr2Tm8
_chemical_formula_sum 'Dy2 Er4 Tm16'
_space_group_name_H-M_alt 'C 1 2/m 1'
_space_group_IT_number 12
_space_group_name_Hall '-C 2y'
_cell_length_a 17.107
_cell_length_b 5.347
_cell_length_c 8.216
_cell_angle_alpha 90.00
_cell_angle_beta 116.58
_cell_angle_gamma 90.00
loop_
_atom_site_label
_atom_site_type_symbol
_atom_site_fract_x
_atom_site_fract_y
_atom_site_fract_z
_atom_site_occupancy
Dy1 Dy 0.000 0.000 0.000 1
Er1 Er 0.202 0.500 0.659 1
Tm1 Tm 0.018 0.500 0.722 1
Tm2 Tm 0.118 0.000 0.441 1
Tm3 Tm 0.159 0.500 0.197 1
Tm4 Tm 0.165 0.000 0.893 1

***

3.
# KGaPb (PBE, optimized geometry)
# Raw total energy, eV per atom: -2.716
# Magnetization, μB per formula unit: 0.0
# E_form, meV/atom: -105
data_KGaPb
_chemical_formula_sum 'K1 Ga1 Pb1'
_space_group_name_H-M_alt 'P 3 m 1'
_space_group_IT_number 156
_space_group_name_Hall 'P 3 -2"'
_cell_length_a 4.7302
_cell_length_b 4.7302
_cell_length_c 5.6048
_cell_angle_alpha 90.00
_cell_angle_beta 90.00
_cell_angle_gamma 120.00
loop_
_atom_site_label
_atom_site_type_symbol
_atom_site_fract_x
_atom_site_fract_y
_atom_site_fract_z
_atom_site_occupancy
K1 K 0.0000 0.0000 0.0000 1
Ga1 Ga 0.3333 0.6667 0.5511 1
Pb1 Pb 0.6667 0.3333 0.4746 1

***

4.
# Pm3Er3Ni4 (PBE, optimized geometry)
# Raw total energy, eV per atom: -5.398
# Magnetization, μB per formula unit: 0.0
# E_form, meV/atom: -291
data_Pm3Er3Ni4
_chemical_formula_sum 'Pm6 Er6 Ni8'
_space_group_name_H-M_alt 'A m m 2'
_space_group_IT_number 38
_space_group_name_Hall 'A 2 -2'
_cell_length_a 3.898
_cell_length_b 10.812
_cell_length_c 10.653
_cell_angle_alpha 90.00
_cell_angle_beta 90.00
_cell_angle_gamma 90.00
loop_
_atom_site_label
_atom_site_type_symbol
_atom_site_fract_x
_atom_site_fract_y
_atom_site_fract_z
_atom_site_occupancy
Pm1 Pm 0.000 0.000 0.000 1
Pm2 Pm 0.000 0.167 0.664 1
Er1 Er 0.000 0.000 0.334 1
Er2 Er 0.500 0.247 0.413 1
Ni1 Ni 0.500 0.000 0.535 1
Ni2 Ni 0.500 0.000 0.787 1
Ni3 Ni 0.500 0.119 0.172 1

***

5.
# PrEr2In (PBE, optimized geometry)
# Raw total energy, eV per atom: -4.399
# Magnetization, μB per formula unit: 0.0
# E_form, meV/atom: -238
# Energy above the lowest structure with this stoichiometry, eV/atom: 0.018
data_PrEr2In
_chemical_formula_sum 'Pr1 Er2 In1'
_space_group_name_H-M_alt 'P 4/m m m'
_space_group_IT_number 123
_space_group_name_Hall '-P 4 2'
_cell_length_a 3.609
_cell_length_b 3.609
_cell_length_c 9.184
_cell_angle_alpha 90.00
_cell_angle_beta 90.00
_cell_angle_gamma 90.00
loop_
_atom_site_label
_atom_site_type_symbol
_atom_site_fract_x
_atom_site_fract_y
_atom_site_fract_z
_atom_site_occupancy
Pr1 Pr 0.000 0.000 0.000 1
Er1 Er 0.500 0.500 0.280 1
In1 In 0.000 0.000 0.500 1

***

6.
# SrMgMn2 (PBE, optimized geometry)
# Raw total energy, eV per atom: -4.799
# Magnetization, μB per formula unit: 7.7
# E_form, meV/atom: 604
data_SrMgMn2
_chemical_formula_sum 'Sr2 Mg2 Mn4'
_space_group_name_H-M_alt 'I -4 m 2'
_space_group_IT_number 119
_space_group_name_Hall 'I -4 -2'
_cell_length_a 5.118
_cell_length_b 5.118
_cell_length_c 7.176
_cell_angle_alpha 90.00
_cell_angle_beta 90.00
_cell_angle_gamma 90.00
loop_
_atom_site_label
_atom_site_type_symbol
_atom_site_fract_x
_atom_site_fract_y
_atom_site_fract_z
_atom_site_occupancy
Sr1 Sr 0.000 0.000 0.000 1
Mg1 Mg 0.000 0.500 0.750 1
Mn1 Mn 0.000 0.000 0.500 1
Mn2 Mn 0.000 0.500 0.250 1

***

7.
# MnCd3Ga (PBE, optimized geometry)
# Raw total energy, eV per atom: -2.332
# Magnetization, μB per formula unit: 4.4
# E_form, meV/atom: 656
# Energy above the lowest structure with this stoichiometry, eV/atom: 0.074
data_MnCd3Ga
_chemical_formula_sum 'Mn1 Cd3 Ga1'
_space_group_name_H-M_alt 'P m -3 m'
_space_group_IT_number 221
_space_group_name_Hall '-P 4 2 3'
_cell_length_a 5.185
_cell_length_b 5.185
_cell_length_c 5.185
_cell_angle_alpha 90.00
_cell_angle_beta 90.00
_cell_angle_gamma 90.00
loop_
_atom_site_label
_atom_site_type_symbol
_atom_site_fract_x
_atom_site_fract_y
_atom_site_fract_z
_atom_site_occupancy
Mn1 Mn 0.000 0.000 0.000 1
Cd1 Cd 0.000 0.500 0.500 1
Ga1 Ga 0.500 0.500 0.500 1

***

8.
# Li6NdCu2 (PBE, optimized geometry)
# Raw total energy, eV per atom: -2.762
# Magnetization, μB per formula unit: 0.0
# E_form, meV/atom: -46
data_Li6NdCu2
_chemical_formula_sum 'Li6 Nd1 Cu2'
_space_group_name_H-M_alt 'P 4/m m m'
_space_group_IT_number 123
_space_group_name_Hall '-P 4 2'
_cell_length_a 3.966
_cell_length_b 3.966
_cell_length_c 10.897
_cell_angle_alpha 90.00
_cell_angle_beta 90.00
_cell_angle_gamma 90.00
loop_
_atom_site_label
_atom_site_type_symbol
_atom_site_fract_x
_atom_site_fract_y
_atom_site_fract_z
_atom_site_occupancy
Li1 Li 0.000 0.000 0.000 1
Li2 Li 0.000 0.500 0.221 1
Li3 Li 0.500 0.500 0.000 1
Nd1 Nd 0.000 0.000 0.500 1
Cu1 Cu 0.500 0.500 0.385 1

***

9.
# LaH3Pd2 (PBE, optimized geometry)
# Raw total energy, eV per atom: -4.708
# Magnetization, μB per formula unit: 0.0
# Energy above the lowest structure with this stoichiometry, eV/atom: 0.013
data_LaH3Pd2
_chemical_formula_sum 'La4 H12 Pd8'
_space_group_name_H-M_alt 'C m c m'
_space_group_IT_number 63
_space_group_name_Hall '-C 2c 2'
_cell_length_a 7.331
_cell_length_b 8.293
_cell_length_c 5.369
_cell_angle_alpha 90.00
_cell_angle_beta 90.00
_cell_angle_gamma 90.00
loop_
_atom_site_label
_atom_site_type_symbol
_atom_site_fract_x
_atom_site_fract_y
_atom_site_fract_z
_atom_site_occupancy
La1 La 0.000 0.198 0.250 1
H1 H 0.000 0.452 0.750 1
H2 H 0.169 0.090 0.750 1
Pd1 Pd 0.193 0.500 0.000 1

***

10.
# Cr2RuS (PBE, optimized geometry)
# Raw total energy, eV per atom: -7.634
# Magnetization, μB per formula unit: 1.9
# Raw formation energy, eV per atom: 0.529
data_Cr2RuS
_chemical_formula_sum 'Cr8 Ru4 S4'
_space_group_name_H-M_alt 'I -4 2 d'
_space_group_IT_number 122
_space_group_name_Hall 'I -4 2bw'
_cell_length_a 5.514
_cell_length_b 5.514
_cell_length_c 9.167
_cell_angle_alpha 90.00
_cell_angle_beta 90.00
_cell_angle_gamma 90.00
loop_
_atom_site_label
_atom_site_type_symbol
_atom_site_fract_x
_atom_site_fract_y
_atom_site_fract_z
_atom_site_occupancy
Cr1 Cr 0.235 0.250 0.125 1
Ru1 Ru 0.000 0.000 0.500 1
S1 S 0.000 0.000 0.000 1

***

11.
# YWAu2 (PBE, optimized geometry)
# Raw total energy, eV per atom: -6.390
# Magnetization, μB per formula unit: 0.0
# E_form, meV/atom: 103
# Energy above the lowest structure with this stoichiometry, eV/atom: 0.038
data_YWAu2
_chemical_formula_sum 'Y2 W2 Au4'
_space_group_name_H-M_alt 'C 1 m 1'
_space_group_IT_number 8
_space_group_name_Hall 'C -2y'
_cell_length_a 10.809
_cell_length_b 3.089
_cell_length_c 5.146
_cell_angle_alpha 90.00
_cell_angle_beta 114.89
_cell_angle_gamma 90.00
loop_
_atom_site_label
_atom_site_type_symbol
_atom_site_fract_x
_atom_site_fract_y
_atom_site_fract_z
_atom_site_occupancy
Y1 Y 0.000 0.000 0.000 1
W1 W 0.254 0.500 0.401 1
Au1 Au 0.239 0.000 0.861 1
Au2 Au 0.488 0.000 0.482 1

***

12.
# MgMnPt (PBE, optimized geometry)
# Raw total energy, eV per atom: -5.912
# Magnetization, μB per formula unit: 4.1
# E_form, meV/atom: -310
data_MgMnPt
_chemical_formula_sum 'Mg2 Mn2 Pt2'
_space_group_name_H-M_alt 'I 4 m m'
_space_group_IT_number 107
_space_group_name_Hall 'I 4 -2'
_cell_length_a 2.993
_cell_length_b 2.993
_cell_length_c 11.041
_cell_angle_alpha 90.00
_cell_angle_beta 90.00
_cell_angle_gamma 90.00
loop_
_atom_site_label
_atom_site_type_symbol
_atom_site_fract_x
_atom_site_fract_y
_atom_site_fract_z
_atom_site_occupancy
Mg1 Mg 0.000 0.000 0.000 1
Mn1 Mn 0.000 0.000 0.308 1
Pt1 Pt 0.000 0.000 0.660 1